Record 1
Lu3AgO: relaxed, PBE-GGA.

Cell: 4.6297 4.6297 4.6297 Å, 90.00 90.00 90.00°
Last column: nearest neighbours and their distance in Å.
Atoms (fractional coordinates):
1 Lu 0.0000 0.5000 0.0000  2 O 2.31
2 Lu 0.0000 0.0000 0.5000  2 O 2.31
3 Lu 0.5000 0.0000 0.0000  2 O 2.31
4 O 0.0000 0.0000 0.0000  6 Lu 2.31
5 Ag 0.5000 0.5000 0.5000  12 Lu 3.27

Values from the calculation:
symmetry	Pm-3m, No. 221
volume	99.2	Å³/cell
E_form (uncorrected)	-1.2349	eV per atom
DOS(E_F)	0.918	states/eV/atom


Record 2
Lu2AgO: relaxed, PBE-GGA.

Cell: 3.2676 3.2676 8.7833 Å, 79.28 79.28 60.00°
Last column: nearest neighbours and their distance in Å.
Atoms (fractional coordinates):
1 Lu 0.1126 0.1126 0.6621  3 O 2.34
2 Lu 0.8874 0.8874 0.3379  3 O 2.34
3 O 0.5000 0.5000 0.5000  6 Lu 2.34
4 Ag 0.0000 0.0000 0.0000  2 Lu 2.90

Values from the calculation:
symmetry	R-3m, No. 166
volume	79.3	Å³/cell
E_form (uncorrected)	-1.1136	eV per atom
DOS(E_F)	0.237	states/eV/atom


Record 3
LuAgO2: relaxed, PBE-GGA.

Cell: 6.5668 6.5668 6.5668 Å, 30.16 30.16 30.16°
Last column: nearest neighbours and their distance in Å.
Atoms (fractional coordinates):
1 Lu 0.5000 0.5000 0.5000  6 O 2.23
2 O 0.8885 0.8885 0.8885  1 Ag 2.10, 3 Lu 2.23
3 O 0.1115 0.1115 0.1115  1 Ag 2.10, 3 Lu 2.23
4 Ag 0.0000 0.0000 0.0000  2 O 2.10

Values from the calculation:
symmetry	R-3m, No. 166
volume	63.3	Å³/cell
E_form (uncorrected)	-2.3563	eV per atom
DOS(E_F)	0.000	states/eV/atom


Record 4
LuPaAgOs: relaxed, PBE-GGA.

Cell: 4.9348 4.9348 4.9348 Å, 60.00 60.00 60.00°
Last column: nearest neighbours and their distance in Å.
Atoms (fractional coordinates):
1 Pa 0.5000 0.5000 0.5000  4 Os 3.02, 4 Ag 3.02
2 Os 0.2500 0.2500 0.2500  4 Pa 3.02, 4 Lu 3.02
3 Lu 0.0000 0.0000 0.0000  4 Os 3.02, 4 Ag 3.02
4 Ag 0.7500 0.7500 0.7500  4 Lu 3.02, 4 Pa 3.02

Values from the calculation:
uncorrected energy	-7.15	eV per atom
symmetry	F-43m, No. 216
volume	85.0	Å³/cell
DOS(E_F)	1.003	states/eV/atom


Record 5
PrLuAgOs: relaxed, PBE-GGA.

Cell: 5.0069 5.0069 5.0069 Å, 60.00 60.00 60.00°
Last column: nearest neighbours and their distance in Å.
Atoms (fractional coordinates):
1 Pr 0.5000 0.5000 0.5000  4 Os 3.07, 4 Ag 3.07
2 Lu 0.0000 0.0000 0.0000  4 Ag 3.07, 4 Os 3.07
3 Os 0.7500 0.7500 0.7500  4 Pr 3.07, 4 Lu 3.07
4 Ag 0.2500 0.2500 0.2500  4 Pr 3.07, 4 Lu 3.07

Values from the calculation:
uncorrected energy	-6.01	eV per atom
symmetry	F-43m, No. 216
volume	88.8	Å³/cell
DOS(E_F)	0.702	states/eV/atom


Record 6
SmLuAgOs: relaxed, PBE-GGA.

Cell: 4.9536 4.9536 4.9536 Å, 60.00 60.00 60.00°
Last column: nearest neighbours and their distance in Å.
Atoms (fractional coordinates):
1 Lu 0.5000 0.5000 0.5000  4 Os 3.03, 4 Ag 3.03
2 Os 0.7500 0.7500 0.7500  4 Lu 3.03, 4 Sm 3.03
3 Ag 0.2500 0.2500 0.2500  4 Sm 3.03, 4 Lu 3.03
4 Sm 0.0000 0.0000 0.0000  4 Os 3.03, 4 Ag 3.03

Values from the calculation:
uncorrected energy	-6.07	eV per atom
symmetry	F-43m, No. 216
volume	86.0	Å³/cell
DOS(E_F)	0.563	states/eV/atom


Record 7
TbLuAgOs: relaxed, PBE-GGA.

Cell: 4.9096 4.9096 4.9096 Å, 60.00 60.00 60.00°
Last column: nearest neighbours and their distance in Å.
Atoms (fractional coordinates):
1 Tb 0.0000 0.0000 0.0000  4 Os 3.01, 4 Ag 3.01
2 Lu 0.5000 0.5000 0.5000  4 Os 3.01, 4 Ag 3.01
3 Os 0.7500 0.7500 0.7500  4 Tb 3.01, 4 Lu 3.01
4 Ag 0.2500 0.2500 0.2500  4 Tb 3.01, 4 Lu 3.01

Values from the calculation:
uncorrected energy	-6.11	eV per atom
symmetry	F-43m, No. 216
volume	83.7	Å³/cell
DOS(E_F)	0.396	states/eV/atom


Record 8
LuThAgOs: relaxed, PBE-GGA.

Cell: 5.0260 5.0260 5.0260 Å, 60.00 60.00 60.00°
Last column: nearest neighbours and their distance in Å.
Atoms (fractional coordinates):
1 Lu 0.0000 0.0000 0.0000  4 Os 3.08, 4 Ag 3.08
2 Os 0.7500 0.7500 0.7500  4 Th 3.08, 4 Lu 3.08
3 Ag 0.2500 0.2500 0.2500  4 Th 3.08, 4 Lu 3.08
4 Th 0.5000 0.5000 0.5000  4 Os 3.08, 4 Ag 3.08

Values from the calculation:
uncorrected energy	-6.73	eV per atom
symmetry	F-43m, No. 216
volume	89.8	Å³/cell
DOS(E_F)	0.902	states/eV/atom